A:
Ho3In5 | PBE | optimized geometry

**Space-group type**: No. 63
**Total magnetization**: 0.0 μB/cell
**Fermi-level density of states**: 0.52 states/eV/atom
**Crystal system**: orthorhombic
**Calculated density**: 8.64 g/cm³

Lattice parameters (Å, degrees): 6.3621 6.3621 10.3634 90.00 90.00 78.51
Closest atoms and distances in Å follow each position.
Element x y z (fractional)
Ho 0.1152 0.8848 0.7500  9 In 3.11-3.40
Ho 0.2947 0.2947 0.0000  10 In 3.19-3.48
Ho 0.2947 0.2947 0.5000  10 In 3.19-3.48
Ho 0.7053 0.7053 0.0000  10 In 3.19-3.48
Ho 0.7053 0.7053 0.5000  10 In 3.19-3.48
Ho 0.8848 0.1152 0.2500  9 In 3.11-3.40
In 0.0074 0.4297 0.7500  4 In 3.04-3.26, 4 Ho 3.11-3.40
In 0.1943 0.8057 0.0432  4 In 3.04-3.26, 6 Ho 3.11-3.33
In 0.1943 0.8057 0.4568  4 In 3.04-3.26, 6 Ho 3.11-3.33
In 0.4297 0.0074 0.2500  4 In 3.04-3.26, 4 Ho 3.11-3.40
In 0.4976 0.5024 0.2500  5 Ho 3.12-3.29, 6 In 3.15-3.26
In 0.5024 0.4976 0.7500  5 Ho 3.12-3.29, 6 In 3.15-3.26
In 0.5703 0.9926 0.7500  4 In 3.04-3.26, 4 Ho 3.11-3.40
In 0.8057 0.1943 0.5432  4 In 3.04-3.26, 6 Ho 3.11-3.33
In 0.8057 0.1943 0.9568  4 In 3.04-3.26, 6 Ho 3.11-3.33
In 0.9926 0.5703 0.2500  4 In 3.04-3.26, 4 Ho 3.11-3.40

***

B:
Ho3In5 | PBE | optimized geometry

**Space-group type**: No. 65
**Total magnetization**: 0.0 μB/cell
**Fermi-level density of states**: 0.52 states/eV/atom
**Crystal system**: orthorhombic
**Calculated density**: 8.66 g/cm³

Lattice parameters (Å, degrees): 6.5737 6.5737 4.7466 90.00 90.00 91.60
Closest atoms and distances in Å follow each position.
Element x y z (fractional)
Ho 0.0000 0.0000 0.0000  8 In 3.19-3.29, 4 Ho 3.51
Ho 0.2742 0.7258 0.5000  10 In 3.19-3.35, 2 Ho 3.51
Ho 0.7258 0.2742 0.5000  10 In 3.19-3.35, 2 Ho 3.51
In 0.0000 0.5000 0.0000  6 In 3.29-3.35, 6 Ho 3.29-3.31
In 0.2320 0.2320 0.5000  6 Ho 3.19-3.35, 6 In 3.35-3.42
In 0.5000 0.0000 0.0000  6 In 3.29-3.35, 6 Ho 3.29-3.31
In 0.5000 0.5000 0.0000  4 Ho 3.19, 8 In 3.29-3.42
In 0.7680 0.7680 0.5000  6 Ho 3.19-3.35, 6 In 3.35-3.42

***

Bottom line: A, by a margin of 0.026 eV/atom.